(1)
Computed, not measured: an optimized crystal structure of Zn6Ga12Ag at the PBE level of DFT.

POSCAR file:
```
Zn6Ga12Ag
1.0
5.5352 3.1958 3.3091
-5.5352 3.1958 3.3091
0.0000 -6.3915 3.3091
Zn Ga Ag
6 12 1
Cartesian
-1.0045 -1.1672 1.9333
-0.5085 1.4535 1.9333
1.5131 -0.2864 1.9333
-1.5131 0.2864 7.9940
0.5085 -1.4535 7.9940
1.0045 1.1672 7.9940
-4.7258 0.6163 3.9237
-2.8966 -3.7845 6.0036
-1.8520 -1.8862 4.3592
1.8292 -4.4008 3.9237
-2.5595 0.6608 5.5681
0.7075 -2.5470 5.5681
-0.7075 2.5470 4.3592
2.5595 -0.6608 4.3592
-1.8292 4.4008 6.0036
1.8520 1.8862 5.5681
2.8966 3.7845 3.9237
4.7258 -0.6163 6.0036
0.0000 0.0000 4.9637
```

Properties
Electronic total energy (eV per atom): -2.425
DFT formation energy (eV/f.u.): 0.74

***

(2)
Computed, not measured: an optimized crystal structure of AcMgH8Pd2 at the PBE level of DFT.

POSCAR file:
```
AcMgH8Pd2
1.0
2.4920 1.4387 5.9115
-2.4920 1.4387 5.9115
0.0000 -2.8775 5.9115
Ac Mg H Pd
1 1 8 2
Cartesian
0.0000 0.0000 0.0000
0.0000 0.0000 8.8673
-0.7646 -1.4746 7.7978
-1.6593 -0.0751 9.9369
0.0000 0.0000 5.6217
-0.8947 1.3995 7.7978
0.8947 -1.3995 9.9369
0.0000 0.0000 12.1129
1.6593 0.0751 7.7978
0.7646 1.4746 9.9369
0.0000 0.0000 3.9895
0.0000 0.0000 13.7452
```

Properties
Electronic total energy (eV per atom): -3.731

***

(3)
Computed, not measured: an optimized crystal structure of OsAuSe2N at the PBE level of DFT.

POSCAR file:
```
OsAuSe2N
1.0
5.1139 0.0000 0.0000
0.0000 5.1139 0.0000
0.0000 0.0000 3.6608
Os Au Se N
1 1 2 1
Cartesian
0.0000 0.0000 0.0000
2.5569 2.5569 1.8304
0.0000 2.5569 0.0000
2.5569 0.0000 0.0000
0.0000 0.0000 1.8304
```

Properties
Formation energy without anion corrections (meV/atom): 560
Electronic total energy (eV per atom): -5.401
Distance to the lowest polymorph of the same formula (meV/atom): 0

***

(4)
Computed, not measured: an optimized crystal structure of PrSe6Cl12 at the PBE level of DFT.

POSCAR file:
```
PrSe6Cl12
1.0
4.2189 2.4358 11.8474
-4.2189 2.4358 11.8474
0.0000 -4.8715 11.8474
Pr Se Cl
1 6 12
Cartesian
0.0000 0.0000 0.0000
-1.3947 0.4564 8.9069
0.3021 -1.4360 8.9069
1.0926 0.9796 8.9069
-1.0926 -0.9796 26.6352
-0.3021 1.4360 26.6352
1.3947 -0.4564 26.6352
-2.8134 0.6446 13.4341
-1.6766 -2.2285 16.6070
-2.7682 0.3377 18.9350
-1.9650 -2.1141 22.1080
0.8484 -2.7588 13.4341
1.0917 -2.5662 18.9350
-1.0916 2.5662 16.6070
-0.8484 2.7588 22.1080
1.9650 2.1141 13.4341
2.7683 -0.3377 16.6070
1.6766 2.2285 18.9350
2.8134 -0.6446 22.1080
```

Properties
Formation energy without anion corrections (meV/atom): -535
Electronic total energy (eV per atom): -3.053